No. 1
# Ta2Tl2PdSe6 | Alexandria via LeMat-Bulk | PBE-GGA | optimized geometry
data_Ta2Tl2PdSe6
_chemical_formula_sum 'Ta2 Tl2 Pd1 Se6'
_symmetry_space_group_name_H-M 'P 1'
_symmetry_Int_Tables_number 1
_cell_length_a 6.495
_cell_length_b 6.495
_cell_length_c 8.247
_cell_angle_alpha 96.04
_cell_angle_beta 96.04
_cell_angle_gamma 121.81
loop_
_symmetry_equiv_pos_as_xyz
'x,y,z'
loop_
_atom_site_label
_atom_site_type_symbol
_atom_site_fract_x
_atom_site_fract_y
_atom_site_fract_z
Se1 Se 0.963 0.604 0.323
Se2 Se 0.277 0.277 0.285
Se3 Se 0.396 0.037 0.677
Se4 Se 0.604 0.963 0.323
Se5 Se 0.037 0.396 0.677
Se6 Se 0.723 0.723 0.715
Ta1 Ta 0.638 0.362 0.500
Ta2 Ta 0.362 0.638 0.500
Tl1 Tl 0.180 0.820 0.000
Tl2 Tl 0.820 0.180 0.000
Pd1 Pd 0.000 0.000 0.500
# Raw formation energy = -497 meV/atom
# Symmetry = C2/m
# Raw total energy = -5.46 eV/atom



No. 2
# TaTl3Pd2Se6 | Alexandria via LeMat-Bulk | PBE-GGA | optimized geometry
data_TaTl3Pd2Se6
_chemical_formula_sum 'Ta1 Tl3 Pd2 Se6'
_symmetry_space_group_name_H-M 'P 1'
_symmetry_Int_Tables_number 1
_cell_length_a 6.681
_cell_length_b 6.681
_cell_length_c 7.972
_cell_angle_alpha 97.94
_cell_angle_beta 97.94
_cell_angle_gamma 120.10
loop_
_symmetry_equiv_pos_as_xyz
'x,y,z'
loop_
_atom_site_label
_atom_site_type_symbol
_atom_site_fract_x
_atom_site_fract_y
_atom_site_fract_z
Tl1 Tl 0.835 0.165 0.500
Tl2 Tl 0.500 0.500 0.500
Tl3 Tl 0.165 0.835 0.500
Se1 Se 0.060 0.390 0.183
Se2 Se 0.940 0.610 0.817
Se3 Se 0.610 0.940 0.817
Se4 Se 0.267 0.267 0.815
Se5 Se 0.733 0.733 0.185
Se6 Se 0.390 0.060 0.183
Ta1 Ta 0.000 0.000 0.000
Pd1 Pd 0.666 0.334 0.000
Pd2 Pd 0.334 0.666 0.000
# Raw formation energy = -361 meV/atom
# Symmetry = C2/m
# Raw total energy = -4.55 eV/atom



No. 3
# TaTlPdSe3 | Alexandria via LeMat-Bulk | PBE-GGA | optimized geometry
data_TaTlPdSe3
_chemical_formula_sum 'Ta2 Tl2 Pd2 Se6'
_symmetry_space_group_name_H-M 'P 1'
_symmetry_Int_Tables_number 1
_cell_length_a 3.683
_cell_length_b 8.234
_cell_length_c 10.198
_cell_angle_alpha 113.21
_cell_angle_beta 90.00
_cell_angle_gamma 90.00
loop_
_symmetry_equiv_pos_as_xyz
'x,y,z'
loop_
_atom_site_label
_atom_site_type_symbol
_atom_site_fract_x
_atom_site_fract_y
_atom_site_fract_z
Ta1 Ta 0.250 0.709 0.172
Ta2 Ta 0.750 0.291 0.828
Se1 Se 0.250 0.096 0.878
Se2 Se 0.750 0.904 0.122
Se3 Se 0.250 0.734 0.427
Se4 Se 0.250 0.547 0.880
Se5 Se 0.750 0.266 0.573
Se6 Se 0.750 0.453 0.120
Pd1 Pd 0.250 0.066 0.623
Pd2 Pd 0.750 0.934 0.377
Tl1 Tl 0.750 0.732 0.695
Tl2 Tl 0.250 0.268 0.305
# Raw formation energy = -605 meV/atom
# Symmetry = P2_1/m
# Raw total energy = -5.58 eV/atom



No. 4
# TaTl2PdSe4 | Alexandria via LeMat-Bulk | PBE-GGA | optimized geometry
data_TaTl2PdSe4
_chemical_formula_sum 'Ta2 Tl4 Pd2 Se8'
_symmetry_space_group_name_H-M 'P 1'
_symmetry_Int_Tables_number 1
_cell_length_a 5.917
_cell_length_b 7.494
_cell_length_c 11.834
_cell_angle_alpha 84.34
_cell_angle_beta 75.52
_cell_angle_gamma 66.75
loop_
_symmetry_equiv_pos_as_xyz
'x,y,z'
loop_
_atom_site_label
_atom_site_type_symbol
_atom_site_fract_x
_atom_site_fract_y
_atom_site_fract_z
Ta1 Ta 0.500 0.000 0.000
Ta2 Ta 0.250 0.500 0.500
Se1 Se 0.902 0.785 0.881
Se2 Se 0.534 0.285 0.619
Se3 Se 0.181 0.285 0.381
Se4 Se 0.216 0.215 0.881
Se5 Se 0.438 0.715 0.381
Se6 Se 0.848 0.715 0.619
Se7 Se 0.569 0.215 0.119
Se8 Se 0.312 0.785 0.119
Tl1 Tl 0.186 0.000 0.628
Tl2 Tl 0.814 0.000 0.372
Tl3 Tl 0.936 0.500 0.128
Tl4 Tl 0.564 0.500 0.872
Pd1 Pd 0.750 0.500 0.500
Pd2 Pd 0.000 0.000 0.000
# Raw formation energy = -513 meV/atom
# Symmetry = Fddd
# Raw total energy = -4.98 eV/atom



No. 5
# YTaPdSe2 | Alexandria via LeMat-Bulk | PBE-GGA | optimized geometry
data_YTaPdSe2
_chemical_formula_sum 'Y1 Ta1 Pd1 Se2'
_symmetry_space_group_name_H-M 'P 1'
_symmetry_Int_Tables_number 1
_cell_length_a 4.971
_cell_length_b 5.014
_cell_length_c 4.971
_cell_angle_alpha 90.00
_cell_angle_beta 90.00
_cell_angle_gamma 90.00
loop_
_symmetry_equiv_pos_as_xyz
'x,y,z'
loop_
_atom_site_label
_atom_site_type_symbol
_atom_site_fract_x
_atom_site_fract_y
_atom_site_fract_z
Se1 Se 0.000 0.000 0.500
Se2 Se 0.500 0.000 0.000
Y1 Y 0.000 0.500 0.000
Ta1 Ta 0.500 0.500 0.500
Pd1 Pd 0.000 0.000 0.000
# Raw formation energy = 590 meV/atom
# Symmetry = P4/mmm
# Raw total energy = -5.51 eV/atom



No. 6
# Ta2ZnPdSe | Alexandria via LeMat-Bulk | PBE-GGA | optimized geometry
data_Ta2ZnPdSe
_chemical_formula_sum 'Ta2 Zn1 Pd1 Se1'
_symmetry_space_group_name_H-M 'P 1'
_symmetry_Int_Tables_number 1
_cell_length_a 4.737
_cell_length_b 4.613
_cell_length_c 4.737
_cell_angle_alpha 90.00
_cell_angle_beta 90.00
_cell_angle_gamma 90.00
loop_
_symmetry_equiv_pos_as_xyz
'x,y,z'
loop_
_atom_site_label
_atom_site_type_symbol
_atom_site_fract_x
_atom_site_fract_y
_atom_site_fract_z
Ta1 Ta 0.000 0.000 0.500
Ta2 Ta 0.500 0.000 0.000
Pd1 Pd 0.000 0.500 0.000
Se1 Se 0.000 0.000 0.000
Zn1 Zn 0.500 0.500 0.500
# Raw formation energy = 749 meV/atom
# Symmetry = P4/mmm
# Raw total energy = -5.98 eV/atom